Material: AcY2Pb
Method: DFT, GGA-PBE
State: relaxed

Summary:
Density of states at the Fermi level = 6.5 states/eV/f.u.
E_form = -0.230 eV per atom
Calculated volume = 129.2 Å³ per cell
Total magnetization = 0.43 μB/f.u.

a b c (Å): 4.956 5.105 5.105
angles (deg): 90.00 90.00 90.00
Fractional positions:
1 Pb 0.500 0.000 0.000
2 Y 0.000 0.000 0.500
3 Y 0.000 0.500 0.000
4 Ac 0.500 0.500 0.500